1.
6
Lattice="0.000 3.558 3.558 3.558 0.000 3.558 3.558 3.558 0.000" Properties=species:S:1:pos:R:3 comment="ErTaCr4, optimized geometry, DFT GGA-PBE" space_group="No. 216" final_energy_ev_per_cell=-54.21 magmom_total_mub_per_fu=0.0 pbc="T T T"
Er 0.000 0.000 0.000
Ta 1.779 1.779 1.779
Cr 4.447 2.670 2.670
Cr 2.670 4.447 2.670
Cr 2.670 2.670 4.447
Cr 4.447 4.447 4.447


2.
4
Lattice="1.498 0.865 8.517 -1.498 0.865 8.517 0.000 -1.730 8.517" Properties=species:S:1:pos:R:3 comment="ErCrTc2, optimized geometry, DFT GGA-PBE" space_group="No. 166" final_energy_ev_per_cell=-33.32 magmom_total_mub_per_fu=0.0 pbc="T T T"
Er 0.000 0.000 0.000
Cr 0.000 0.000 12.775
Tc 0.000 0.000 6.064
Tc 0.000 0.000 19.485